No. 1
Here is crystalline Rb4Sm3ZrTe8 at its relaxed geometry from the Alexandria database. Energies are from PBE-GGA.

Unit cell a=9.0178 b=10.0478 c=9.0184 alpha=116.67 beta=120.00 gamma=90.00
Last column: nearest neighbours and their distance in Å.
Element x y z (fractional)
Te (0.2255, 0.6993, 0.4509)  1 Zr 3.02, 2 Sm 3.17
Te (0.7745, 0.3008, 0.0262)  1 Zr 3.02, 2 Sm 3.17
Te (0.7745, 0.3007, 0.5491)  1 Zr 3.02, 2 Sm 3.17
Te (0.2255, 0.6992, 0.9738)  1 Zr 3.02, 2 Sm 3.17
Te (0.7484, 0.6992, 0.9738)  1 Zr 3.02, 2 Sm 3.17
Te (0.2516, 0.3008, 0.0262)  1 Zr 3.02, 2 Sm 3.17
Te (0.7355, 0.7064, 0.4710)  3 Sm 3.15
Te (0.2645, 0.2936, 0.5290)  3 Sm 3.15
Rb (0.5000, 0.0000, 0.5000)  6 Te 3.63
Rb (0.5000, 0.0000, 0.0000)  6 Te 3.75
Rb (0.0000, 0.0000, 0.0000)  6 Te 3.62-3.63
Rb (0.0000, 0.0000, 0.5000)  6 Te 3.63
Sm (0.0000, 0.5000, 0.5000)  6 Te 3.15-3.17
Sm (0.5000, 0.5000, 0.5000)  6 Te 3.15-3.17
Sm (0.5000, 0.5000, 0.0000)  6 Te 3.15-3.17
Zr (0.0000, 0.5000, 0.0000)  6 Te 3.02

Summary:
The value obtained for the raw total energy is -71.999 eV per cell. As for the density: 5.23 g/cm³. For the formation energy without anion corrections, the calculation gives -1.268 eV/atom. The value obtained for the density of states at the Fermi level is 4.73 states/eV/f.u.

No. 2
Here is crystalline RbSmTl at its relaxed geometry from the Alexandria database. Energies are from PBE-GGA.

Unit cell a=4.1275 b=4.1275 c=15.4467 alpha=97.68 beta=97.68 gamma=90.00
Last column: nearest neighbours and their distance in Å.
Element x y z (fractional)
Rb (0.4217, 0.4217, 0.8434)  4 Tl 3.90, 1 Sm 4.07, 4 Rb 4.13
Rb (0.5783, 0.5783, 0.1566)  4 Tl 3.90, 1 Sm 4.07, 4 Rb 4.13
Tl (0.8365, 0.8365, 0.6730)  4 Sm 3.27
Tl (0.1635, 0.1635, 0.3270)  4 Sm 3.27
Sm (0.7123, 0.7123, 0.4246)  4 Tl 3.27
Sm (0.2877, 0.2877, 0.5754)  4 Tl 3.27

Summary:
The formation energy comes out at -27 kJ/mol of formula units. The value obtained for the raw total energy is -16.668 eV per cell. As for the density: 5.66 g/cm³. The value obtained for the density of states at the Fermi level is 3.02 states/eV/f.u.

No. 3
Here is crystalline RbSm4Tl5 at its relaxed geometry from the Alexandria database. Energies are from PBE-GGA.

Unit cell a=3.9174 b=3.9174 c=20.3934 alpha=90.00 beta=90.00 gamma=90.00
Last column: nearest neighbours and their distance in Å.
Element x y z (fractional)
Sm (0.0000, 0.0000, 0.4061)  8 Tl 3.35-3.37
Sm (0.0000, 0.0000, 0.5939)  8 Tl 3.35-3.37
Sm (0.0000, 0.0000, 0.7818)  8 Tl 3.27-3.39
Sm (0.0000, 0.0000, 0.2182)  8 Tl 3.27-3.39
Tl (0.5000, 0.5000, 0.3136)  8 Sm 3.35-3.39, 1 Tl 3.68
Tl (0.5000, 0.5000, 0.5000)  8 Sm 3.37
Tl (0.5000, 0.5000, 0.1334)  4 Sm 3.27
Tl (0.5000, 0.5000, 0.6864)  8 Sm 3.35-3.39, 1 Tl 3.68
Tl (0.5000, 0.5000, 0.8666)  4 Sm 3.27
Rb (0.0000, 0.0000, 0.0000)  8 Tl 3.88, 4 Rb 3.92

Summary:
The formation energy comes out at -292 kJ/mol of formula units. The value obtained for the raw total energy is -34.701 eV per cell. As for the density: 9.07 g/cm³. The value obtained for the density of states at the Fermi level is 6.89 states/eV/f.u.

No. 4
Here is crystalline RbSm2Y at its relaxed geometry from the Alexandria database. Energies are from PBE-GGA.

Unit cell a=3.6725 b=3.6725 c=13.6038 alpha=82.24 beta=82.24 gamma=60.00
Last column: nearest neighbours and their distance in Å.
Element x y z (fractional)
Sm (0.9039, 0.9039, 0.2883)  3 Y 3.55, 6 Sm 3.67, 1 Rb 3.87
Sm (0.0961, 0.0961, 0.7117)  3 Y 3.55, 6 Sm 3.67, 1 Rb 3.87
Y (0.5000, 0.5000, 0.5000)  6 Sm 3.55, 6 Y 3.67
Rb (0.0000, 0.0000, 0.0000)  6 Rb 3.67, 2 Sm 3.87

Summary:
The formation energy comes out at 101 kJ/mol of formula units. The value obtained for the raw total energy is -15.826 eV per cell. As for the density: 5.03 g/cm³. The value obtained for the density of states at the Fermi level is 3.98 states/eV/f.u.

No. 5
Here is crystalline Rb3Sn11 at its relaxed geometry from the Alexandria database. Energies are from PBE-GGA.

Unit cell a=5.3502 b=9.7681 c=9.7681 alpha=73.80 beta=74.11 gamma=74.11
Last column: nearest neighbours and their distance in Å.
Element x y z (fractional)
Rb (0.2982, 0.7018, 0.7018)  14 Sn 3.68-3.99
Rb (0.0000, 0.0000, 0.0000)  12 Sn 3.85-3.89
Rb (0.7018, 0.2982, 0.2982)  14 Sn 3.68-3.99
Sn (0.3471, 0.0151, 0.2908)  5 Sn 3.05-3.23
Sn (0.1478, 0.1278, 0.5766)  4 Sn 3.10-3.41
Sn (0.5000, 0.3141, 0.6859)  2 Sn 3.05
Sn (0.5000, 0.6859, 0.3141)  2 Sn 3.05
Sn (0.3471, 0.2908, 0.0151)  5 Sn 3.05-3.23
Sn (0.6529, 0.7092, 0.9849)  5 Sn 3.05-3.23
Sn (0.1478, 0.5766, 0.1278)  4 Sn 3.10-3.41
Sn (0.0000, 0.5000, 0.5000)  8 Sn 3.41-3.45
Sn (0.8522, 0.8722, 0.4234)  4 Sn 3.10-3.41
Sn (0.6529, 0.9849, 0.7092)  5 Sn 3.05-3.23
Sn (0.8522, 0.4234, 0.8722)  4 Sn 3.10-3.41

Summary:
The formation energy comes out at -142 kJ/mol of formula units. The value obtained for the raw total energy is -48.409 eV per cell. As for the density: 5.63 g/cm³. The value obtained for the density of states at the Fermi level is 4.98 states/eV/f.u.

No. 6
Here is crystalline RbSn6 at its relaxed geometry from the Alexandria database. Energies are from PBE-GGA.

Unit cell a=7.3182 b=7.3182 c=7.3182 alpha=90.00 beta=90.00 gamma=90.00
Last column: nearest neighbours and their distance in Å.
Element x y z (fractional)
Sn (0.5000, 0.1993, 0.5000)  5 Sn 2.92-3.11
Sn (0.1993, 0.5000, 0.5000)  5 Sn 2.92-3.11
Sn (0.5000, 0.5000, 0.1993)  5 Sn 2.92-3.11
Sn (0.5000, 0.8007, 0.5000)  5 Sn 2.92-3.11
Sn (0.5000, 0.5000, 0.8007)  5 Sn 2.92-3.11
Sn (0.8007, 0.5000, 0.5000)  5 Sn 2.92-3.11
Rb (0.0000, 0.0000, 0.0000)  24 Sn 5.38

Summary:
The energy above the most stable polymorph in this dataset is 290 meV/atom. The formation energy comes out at 165 kJ/mol of formula units. The value obtained for the raw total energy is -23.275 eV per cell. As for the density: 3.38 g/cm³. The value obtained for the density of states at the Fermi level is 4.26 states/eV/f.u.

No. 7
Here is crystalline Rb2Sn at its relaxed geometry from the Alexandria database. Energies are from PBE-GGA.

Unit cell a=4.6040 b=7.2360 c=11.1343 alpha=68.92 beta=78.07 gamma=71.45
Last column: nearest neighbours and their distance in Å.
Element x y z (fractional)
Rb (0.5229, 0.1288, 0.8254)  2 Rb 3.65-4.03, 4 Sn 3.98-4.03
Rb (0.8287, 0.6912, 0.6515)  3 Sn 3.94-4.17, 3 Rb 4.03-4.37
Rb (0.4771, 0.8712, 0.1746)  2 Rb 3.65-4.03, 4 Sn 3.98-4.03
Rb (0.1713, 0.3088, 0.3485)  3 Sn 3.94-4.17, 3 Rb 4.03-4.37
Sn (0.2065, 0.6330, 0.9540)  2 Sn 2.91
Sn (0.7935, 0.3670, 0.0460)  2 Sn 2.91

Summary:
The formation energy comes out at -36 kJ/mol of formula units. The value obtained for the raw total energy is -12.614 eV per cell. As for the density: 2.95 g/cm³. The value obtained for the density of states at the Fermi level is 1.48 states/eV/f.u.

No. 8
Here is crystalline Rb2Sn13 at its relaxed geometry from the Alexandria database. Energies are from PBE-GGA.

Unit cell a=8.4795 b=8.4795 c=10.4638 alpha=66.10 beta=66.10 gamma=60.00
Last column: nearest neighbours and their distance in Å.
Element x y z (fractional)
Sn (0.8708, 0.2530, 0.6232)  6 Sn 2.97-3.24
Sn (0.2530, 0.2530, 0.6232)  6 Sn 2.97-3.24
Sn (0.0206, 0.6407, 0.6981)  5 Sn 2.97-3.22
Sn (0.1292, 0.7470, 0.3768)  6 Sn 2.97-3.24
Sn (0.2530, 0.8708, 0.6232)  6 Sn 2.97-3.24
Sn (0.9794, 0.3593, 0.3019)  5 Sn 2.97-3.22
Sn (0.7470, 0.1292, 0.3768)  6 Sn 2.97-3.24
Sn (0.5000, 0.5000, 0.5000)  12 Sn 3.23-3.55
Sn (0.7470, 0.7470, 0.3768)  6 Sn 2.97-3.24
Sn (0.6407, 0.0206, 0.6981)  5 Sn 2.97-3.22
Sn (0.6407, 0.6407, 0.6981)  5 Sn 2.97-3.22
Sn (0.3593, 0.3593, 0.3019)  5 Sn 2.97-3.22
Sn (0.3593, 0.9794, 0.3019)  5 Sn 2.97-3.22
Rb (0.6464, 0.6464, 0.0607)  10 Sn 3.77-4.21
Rb (0.3536, 0.3536, 0.9393)  10 Sn 3.77-4.21

Summary:
The formation energy comes out at 2 kJ/mol of formula units. The value obtained for the raw total energy is -53.948 eV per cell. As for the density: 4.94 g/cm³. The value obtained for the density of states at the Fermi level is 3.48 states/eV/f.u.

No. 9
Here is crystalline Rb2Sn17 at its relaxed geometry from the Alexandria database. Energies are from PBE-GGA.

Unit cell a=8.4826 b=8.4826 c=8.4826 alpha=81.79 beta=81.79 gamma=81.79
Last column: nearest neighbours and their distance in Å.
Element x y z (fractional)
Sn (0.0000, 0.0000, 0.5000)  10 Sn 3.21-3.42
Sn (0.0000, 0.2907, 0.7093)  10 Sn 3.23-3.60
Sn (0.7093, 0.0000, 0.2907)  10 Sn 3.23-3.60
Sn (0.9044, 0.9044, 0.9044)  7 Sn 3.19-3.50
Sn (0.0000, 0.5000, 0.0000)  10 Sn 3.21-3.42
Sn (0.6513, 0.6513, 0.1472)  9 Sn 3.21-3.50
Sn (0.0956, 0.0956, 0.0956)  7 Sn 3.19-3.50
Sn (0.0000, 0.7093, 0.2907)  10 Sn 3.23-3.60
Sn (0.7093, 0.2907, 0.0000)  10 Sn 3.23-3.60
Sn (0.2907, 0.7093, 0.0000)  10 Sn 3.23-3.60
Sn (0.3487, 0.3487, 0.8528)  9 Sn 3.21-3.50
Sn (0.8528, 0.3487, 0.3487)  9 Sn 3.21-3.50
Sn (0.6513, 0.1472, 0.6513)  9 Sn 3.21-3.50
Sn (0.2907, 0.0000, 0.7093)  10 Sn 3.23-3.60
Sn (0.5000, 0.0000, 0.0000)  10 Sn 3.21-3.42
Sn (0.3487, 0.8528, 0.3487)  9 Sn 3.21-3.50
Sn (0.1472, 0.6513, 0.6513)  9 Sn 3.21-3.50
Rb (0.3426, 0.3426, 0.3426)  19 Sn 3.96-4.34
Rb (0.6574, 0.6574, 0.6574)  19 Sn 3.96-4.34

Summary:
The formation energy comes out at -21 kJ/mol of formula units. The value obtained for the raw total energy is -70.197 eV per cell. As for the density: 6.13 g/cm³. The value obtained for the density of states at the Fermi level is 7.83 states/eV/f.u.

No. 10
Here is crystalline Rb4Sn at its relaxed geometry from the Alexandria database. Energies are from PBE-GGA.

Unit cell a=7.3137 b=7.3137 c=7.3137 alpha=90.00 beta=90.00 gamma=90.00
Last column: nearest neighbours and their distance in Å.
Element x y z (fractional)
Rb (0.0000, 0.5000, 0.5000)  2 Sn 3.66
Rb (0.5000, 0.0000, 0.5000)  2 Sn 3.66
Rb (0.0000, 0.0000, 0.0000)  12 Rb 5.17
Rb (0.5000, 0.5000, 0.0000)  2 Sn 3.66
Sn (0.5000, 0.5000, 0.5000)  6 Rb 3.66

Summary:
The formation energy comes out at 29 kJ/mol of formula units. The value obtained for the raw total energy is -7.571 eV per cell. As for the density: 1.95 g/cm³. The value obtained for the density of states at the Fermi level is 5.78 states/eV/f.u.

No. 11
Here is crystalline RbSn8 at its relaxed geometry from the Alexandria database. Energies are from PBE-GGA.

Unit cell a=4.4317 b=8.1936 c=8.1936 alpha=85.81 beta=74.31 gamma=74.31
Last column: nearest neighbours and their distance in Å.
Element x y z (fractional)
Sn (0.0000, 0.6541, 0.3459)  11 Sn 3.29-3.52
Sn (0.3143, 0.0000, 0.3714)  2 Sn 3.00
Sn (0.6857, 0.0000, 0.6286)  2 Sn 3.00
Sn (0.0000, 0.3459, 0.6541)  11 Sn 3.29-3.52
Sn (0.3459, 0.6541, 0.6541)  11 Sn 3.29-3.52
Sn (0.3143, 0.3714, 0.0000)  2 Sn 3.00
Sn (0.6541, 0.3459, 0.3459)  11 Sn 3.29-3.52
Sn (0.6857, 0.6286, 0.0000)  2 Sn 3.00
Rb (0.0000, 0.0000, 0.0000)  12 Sn 3.67-3.86

Summary:
The formation energy comes out at 19 kJ/mol of formula units. The value obtained for the raw total energy is -32.795 eV per cell. As for the density: 6.23 g/cm³. The value obtained for the density of states at the Fermi level is 4.57 states/eV/f.u.

No. 12
Here is crystalline RbSn6 at its relaxed geometry from the Alexandria database. Energies are from PBE-GGA.

Unit cell a=7.1162 b=7.1162 c=7.1162 alpha=109.47 beta=109.47 gamma=109.47
Last column: nearest neighbours and their distance in Å.
Element x y z (fractional)
Rb (0.0000, 0.0000, 0.0000)  24 Sn 4.59
Sn (0.7500, 0.5000, 0.2500)  4 Sn 2.91
Sn (0.7500, 0.2500, 0.5000)  4 Sn 2.91
Sn (0.2500, 0.5000, 0.7500)  4 Sn 2.91
Sn (0.5000, 0.7500, 0.2500)  4 Sn 2.91
Sn (0.5000, 0.2500, 0.7500)  4 Sn 2.91
Sn (0.2500, 0.7500, 0.5000)  4 Sn 2.91

Summary:
The energy above the most stable polymorph in this dataset is 0 meV/atom. The formation energy comes out at -31 kJ/mol of formula units. The value obtained for the raw total energy is -25.307 eV per cell. As for the density: 4.78 g/cm³. The value obtained for the density of states at the Fermi level is 3.34 states/eV/f.u.

What did the sixth record say?
Here is crystalline RbSn6 at its relaxed geometry from the Alexandria database. Energies are from PBE-GGA.

Unit cell a=7.3182 b=7.3182 c=7.3182 alpha=90.00 beta=90.00 gamma=90.00
Last column: nearest neighbours and their distance in Å.
Element x y z (fractional)
Sn (0.5000, 0.1993, 0.5000)  5 Sn 2.92-3.11
Sn (0.1993, 0.5000, 0.5000)  5 Sn 2.92-3.11
Sn (0.5000, 0.5000, 0.1993)  5 Sn 2.92-3.11
Sn (0.5000, 0.8007, 0.5000)  5 Sn 2.92-3.11
Sn (0.5000, 0.5000, 0.8007)  5 Sn 2.92-3.11
Sn (0.8007, 0.5000, 0.5000)  5 Sn 2.92-3.11
Rb (0.0000, 0.0000, 0.0000)  24 Sn 5.38

Summary:
The energy above the most stable polymorph in this dataset is 290 meV/atom. The formation energy comes out at 165 kJ/mol of formula units. The value obtained for the raw total energy is -23.275 eV per cell. As for the density: 3.38 g/cm³. The value obtained for the density of states at the Fermi level is 4.26 states/eV/f.u.